{
  "formula": "K2ZrW",
  "functional": "GGA-PBEsol",
  "state": "optimized geometry",
  "lattice": [[2.849, 0.000, 0.000], [0.000, 6.505, 0.000], [-0.565, 0.000, 5.282]],
  "species": ["K", "K", "Zr", "W"],
  "fractional_positions": [[0.239, 0.000, 0.245], [0.761, 0.000, 0.755], [0.000, 0.500, 0.500], [0.500, 0.500, 0.000]]
}


{
  "formula": "Hf3NiO",
  "functional": "GGA-PBEsol",
  "state": "optimized geometry",
  "lattice": [[4.693, 0.000, 0.000], [0.000, 4.693, 0.000], [0.000, 0.000, 4.693]],
  "species": ["Hf", "Hf", "Hf", "Ni", "O"],
  "fractional_positions": [[0.000, 0.000, 0.500], [0.000, 0.500, 0.000], [0.500, 0.000, 0.000], [0.000, 0.000, 0.000], [0.500, 0.500, 0.500]],
  "raw_formation_energy_ev_per_fu": 3.02
}


{
  "formula": "ReTeAs",
  "functional": "GGA-PBEsol",
  "state": "optimized geometry",
  "lattice": [[6.329, 0.000, 0.000], [0.000, 6.329, 0.000], [0.000, 0.000, 6.329]],
  "species": ["Re", "Re", "Re", "Re", "Te", "Te", "Te", "Te", "As", "As", "As", "As"],
  "fractional_positions": [[0.000, 0.000, 0.000], [0.000, 0.500, 0.500], [0.500, 0.000, 0.500], [0.500, 0.500, 0.000], [0.250, 0.250, 0.750], [0.250, 0.750, 0.250], [0.750, 0.250, 0.250], [0.750, 0.750, 0.750], [0.000, 0.000, 0.500], [0.000, 0.500, 0.000], [0.500, 0.000, 0.000], [0.500, 0.500, 0.500]],
  "raw_formation_energy_ev_per_fu": 3.84
}


{
  "formula": "MnTl2Cl",
  "functional": "GGA-PBEsol",
  "state": "optimized geometry",
  "lattice": [[4.466, 0.000, 0.000], [0.000, 4.466, 0.000], [0.000, 0.000, 9.456]],
  "species": ["Mn", "Mn", "Tl", "Tl", "Tl", "Tl", "Cl", "Cl"],
  "fractional_positions": [[0.000, 0.000, 0.000], [0.500, 0.500, 0.500], [0.000, 0.500, 0.250], [0.000, 0.500, 0.750], [0.500, 0.000, 0.250], [0.500, 0.000, 0.750], [0.000, 0.000, 0.500], [0.500, 0.500, 0.000]],
  "raw_formation_energy_ev_per_fu": 0.97
}


{
  "formula": "Ti2PWAu",
  "functional": "GGA-PBEsol",
  "state": "optimized geometry",
  "lattice": [[4.621, 0.000, 0.000], [0.000, 4.621, 0.000], [0.000, 0.000, 4.991]],
  "species": ["Ti", "Ti", "P", "W", "Au"],
  "fractional_positions": [[0.000, 0.500, 0.000], [0.500, 0.000, 0.000], [0.000, 0.000, 0.500], [0.500, 0.500, 0.000], [0.500, 0.500, 0.500]]
}


{
  "formula": "TaIn2Mo",
  "functional": "GGA-PBEsol",
  "state": "optimized geometry",
  "lattice": [[9.950, 0.000, 0.000], [0.000, 2.879, 0.000], [-0.550, 0.000, 5.142]],
  "species": ["Ta", "Ta", "In", "In", "In", "In", "Mo", "Mo"],
  "fractional_positions": [[0.000, 0.000, 0.000], [0.500, 0.500, 0.000], [0.251, 0.000, 0.745], [0.495, 0.000, 0.488], [0.751, 0.500, 0.745], [0.995, 0.500, 0.488], [0.251, 0.500, 0.236], [0.751, 0.000, 0.236]]
}


{
  "formula": "KZn3Pb",
  "functional": "GGA-PBEsol",
  "state": "optimized geometry",
  "lattice": [[5.474, 0.000, 0.000], [0.000, 5.474, 0.000], [0.000, 0.000, 5.474]],
  "species": ["K", "Zn", "Zn", "Zn", "Pb"],
  "fractional_positions": [[0.000, 0.000, 0.000], [0.000, 0.500, 0.500], [0.500, 0.000, 0.500], [0.500, 0.500, 0.000], [0.500, 0.500, 0.500]]
}


{
  "formula": "Ce3Ni2Sn7",
  "functional": "GGA-PBEsol",
  "state": "optimized geometry",
  "lattice": [[2.270, -13.426, 0.000], [2.270, 13.426, 0.000], [0.000, 0.000, 4.516]],
  "species": ["Ce", "Ce", "Ce", "Ni", "Ni", "Sn", "Sn", "Sn", "Sn", "Sn", "Sn", "Sn"],
  "fractional_positions": [[0.000, 0.000, 0.000], [0.316, 0.684, 0.500], [0.684, 0.316, 0.500], [0.127, 0.873, 0.000], [0.873, 0.127, 0.000], [0.088, 0.912, 0.500], [0.218, 0.782, 0.000], [0.411, 0.589, 0.000], [0.500, 0.500, 0.500], [0.589, 0.411, 0.000], [0.782, 0.218, 0.000], [0.912, 0.088, 0.500]]
}


{
  "formula": "PPbS3",
  "functional": "GGA-PBEsol",
  "state": "optimized geometry",
  "lattice": [[4.584, 0.000, 0.000], [0.000, 4.584, 0.000], [0.000, 0.000, 4.584]],
  "species": ["P", "Pb", "S", "S", "S"],
  "fractional_positions": [[0.000, 0.000, 0.000], [0.500, 0.500, 0.500], [0.000, 0.000, 0.500], [0.000, 0.500, 0.000], [0.500, 0.000, 0.000]],
  "raw_formation_energy_ev_per_fu": -0.22
}


{
  "formula": "SrMnTl2",
  "functional": "GGA-PBEsol",
  "state": "optimized geometry",
  "lattice": [[7.478, 0.000, 0.000], [0.000, 7.478, 0.000], [0.000, 0.000, 7.478]],
  "species": ["Sr", "Sr", "Sr", "Sr", "Mn", "Mn", "Mn", "Mn", "Tl", "Tl", "Tl", "Tl", "Tl", "Tl", "Tl", "Tl"],
  "fractional_positions": [[0.000, 0.000, 0.000], [0.000, 0.500, 0.500], [0.500, 0.000, 0.500], [0.500, 0.500, 0.000], [0.250, 0.250, 0.750], [0.250, 0.750, 0.250], [0.750, 0.250, 0.250], [0.750, 0.750, 0.750], [0.000, 0.000, 0.500], [0.000, 0.500, 0.000], [0.250, 0.250, 0.250], [0.250, 0.750, 0.750], [0.500, 0.000, 0.000], [0.500, 0.500, 0.500], [0.750, 0.250, 0.750], [0.750, 0.750, 0.250]]
}


{
  "formula": "LiInCl",
  "functional": "GGA-PBEsol",
  "state": "optimized geometry",
  "lattice": [[7.074, 0.000, 0.000], [0.000, 7.074, 0.000], [0.000, 0.000, 7.074]],
  "species": ["Li", "Li", "Li", "Li", "In", "In", "In", "In", "Cl", "Cl", "Cl", "Cl"],
  "fractional_positions": [[0.000, 0.000, 0.000], [0.000, 0.500, 0.500], [0.500, 0.000, 0.500], [0.500, 0.500, 0.000], [0.250, 0.250, 0.750], [0.250, 0.750, 0.250], [0.750, 0.250, 0.250], [0.750, 0.750, 0.750], [0.000, 0.000, 0.500], [0.000, 0.500, 0.000], [0.500, 0.000, 0.000], [0.500, 0.500, 0.500]],
  "raw_formation_energy_ev_per_fu": -0.57
}


{
  "formula": "RbPdNF2",
  "functional": "GGA-PBEsol",
  "state": "optimized geometry",
  "lattice": [[4.548, 0.000, 0.000], [0.000, 4.548, 0.000], [0.000, 0.000, 3.641]],
  "species": ["Rb", "Pd", "N", "F", "F"],
  "fractional_positions": [[0.000, 0.000, 0.000], [0.500, 0.500, 0.500], [0.500, 0.500, 0.000], [0.000, 0.500, 0.500], [0.500, 0.000, 0.500]],
  "raw_formation_energy_ev_per_fu": -4.72
}


{
  "formula": "BaTc2W",
  "functional": "GGA-PBEsol",
  "state": "optimized geometry",
  "lattice": [[2.930, 0.000, 0.000], [0.000, 2.930, 0.000], [0.000, 0.000, 8.921]],
  "species": ["Ba", "Tc", "Tc", "W"],
  "fractional_positions": [[0.000, 0.000, 0.000], [0.000, 0.000, 0.468], [0.500, 0.500, 0.303], [0.500, 0.500, 0.679]]
}


{
  "formula": "NaGaSiP2",
  "functional": "GGA-PBEsol",
  "state": "optimized geometry",
  "lattice": [[4.575, 0.000, 0.000], [0.000, 4.575, 0.000], [0.000, 0.000, 5.100]],
  "species": ["Na", "Ga", "Si", "P", "P"],
  "fractional_positions": [[0.000, 0.000, 0.000], [0.500, 0.500, 0.000], [0.000, 0.000, 0.500], [0.000, 0.500, 0.500], [0.500, 0.000, 0.500]],
  "raw_formation_energy_ev_per_fu": 2.61
}


{
  "formula": "LiRuI2O",
  "functional": "GGA-PBEsol",
  "state": "optimized geometry",
  "lattice": [[5.544, 0.000, 0.000], [0.000, 5.544, 0.000], [0.000, 0.000, 3.692]],
  "species": ["Li", "Ru", "I", "I", "O"],
  "fractional_positions": [[0.000, 0.000, 0.000], [0.500, 0.500, 0.500], [0.000, 0.500, 0.500], [0.500, 0.000, 0.500], [0.500, 0.500, 0.000]],
  "raw_formation_energy_ev_per_fu": -2.71
}


{
  "formula": "MoP2Ru",
  "functional": "GGA-PBEsol",
  "state": "optimized geometry",
  "lattice": [[4.149, 0.000, 0.000], [0.000, 4.149, 0.000], [0.000, 0.000, 2.935]],
  "species": ["Mo", "P", "P", "Ru"],
  "fractional_positions": [[0.000, 0.000, 0.000], [0.000, 0.500, 0.500], [0.500, 0.000, 0.500], [0.500, 0.500, 0.000]]
}


{
  "formula": "LaFe2Pt",
  "functional": "GGA-PBEsol",
  "state": "optimized geometry",
  "lattice": [[3.290, 0.000, 0.000], [0.000, 3.290, 0.000], [0.000, 0.000, 6.487]],
  "species": ["La", "Fe", "Fe", "Pt"],
  "fractional_positions": [[0.000, 0.000, 0.000], [0.500, 0.500, 0.327], [0.500, 0.500, 0.673], [0.000, 0.000, 0.500]]
}


{
  "formula": "ZrSb2Ir",
  "functional": "GGA-PBEsol",
  "state": "optimized geometry",
  "lattice": [[4.120, 0.000, 0.000], [0.000, 4.120, 0.000], [0.000, 0.000, 9.235]],
  "species": ["Zr", "Zr", "Sb", "Sb", "Sb", "Sb", "Ir", "Ir"],
  "fractional_positions": [[0.000, 0.000, 0.000], [0.500, 0.500, 0.500], [0.000, 0.000, 0.500], [0.000, 0.500, 0.750], [0.500, 0.000, 0.250], [0.500, 0.500, 0.000], [0.000, 0.500, 0.250], [0.500, 0.000, 0.750]],
  "raw_formation_energy_ev_per_fu": -0.92
}


{
  "formula": "Zn5Ni",
  "functional": "GGA-PBEsol",
  "state": "optimized geometry",
  "lattice": [[2.784, 0.000, 0.000], [0.000, 2.784, 0.000], [0.000, 0.000, 10.190]],
  "species": ["Zn", "Zn", "Zn", "Zn", "Zn", "Ni"],
  "fractional_positions": [[0.000, 0.000, 0.000], [0.000, 0.000, 0.354], [0.000, 0.000, 0.646], [0.500, 0.500, 0.176], [0.500, 0.500, 0.824], [0.500, 0.500, 0.500]]
}


{
  "formula": "SbOsRu2",
  "functional": "GGA-PBEsol",
  "state": "optimized geometry",
  "lattice": [[2.852, 0.000, 0.000], [0.000, 3.803, 0.000], [-0.341, 0.000, 5.568]],
  "species": ["Sb", "Os", "Ru", "Ru"],
  "fractional_positions": [[0.000, 0.000, 0.000], [0.000, 0.000, 0.500], [0.472, 0.500, 0.267], [0.528, 0.500, 0.733]],
  "raw_formation_energy_ev_per_fu": 1.32
}


{
  "formula": "Tm2Co12P7",
  "functional": "GGA-PBEsol",
  "state": "optimized geometry",
  "lattice": [[8.875, 0.000, 0.000], [-4.438, 7.686, 0.000], [0.000, 0.000, 3.515]],
  "species": ["Tm", "Tm", "Co", "Co", "Co", "Co", "Co", "Co", "Co", "Co", "Co", "Co", "Co", "Co", "P", "P", "P", "P", "P", "P", "P"],
  "fractional_positions": [[0.000, 0.000, 0.000], [0.333, 0.667, 0.500], [0.049, 0.280, 0.500], [0.102, 0.709, 0.000], [0.231, 0.951, 0.500], [0.291, 0.394, 0.000], [0.393, 0.179, 0.000], [0.535, 0.437, 0.500], [0.563, 0.098, 0.500], [0.606, 0.898, 0.000], [0.720, 0.769, 0.500], [0.787, 0.607, 0.000], [0.821, 0.213, 0.000], [0.902, 0.465, 0.500], [0.073, 0.447, 0.000], [0.263, 0.221, 0.500], [0.374, 0.927, 0.000], [0.553, 0.626, 0.000], [0.667, 0.333, 0.000], [0.779, 0.042, 0.500], [0.958, 0.737, 0.500]]
}


{
  "formula": "Mg2TlCr",
  "functional": "GGA-PBEsol",
  "state": "optimized geometry",
  "lattice": [[6.863, 0.000, 0.000], [0.000, 6.863, 0.000], [0.000, 0.000, 6.863]],
  "species": ["Mg", "Mg", "Mg", "Mg", "Mg", "Mg", "Mg", "Mg", "Tl", "Tl", "Tl", "Tl", "Cr", "Cr", "Cr", "Cr"],
  "fractional_positions": [[0.250, 0.250, 0.250], [0.250, 0.250, 0.750], [0.250, 0.750, 0.250], [0.250, 0.750, 0.750], [0.750, 0.250, 0.250], [0.750, 0.250, 0.750], [0.750, 0.750, 0.250], [0.750, 0.750, 0.750], [0.000, 0.000, 0.000], [0.000, 0.500, 0.500], [0.500, 0.000, 0.500], [0.500, 0.500, 0.000], [0.000, 0.000, 0.500], [0.000, 0.500, 0.000], [0.500, 0.000, 0.000], [0.500, 0.500, 0.500]]
}


{
  "formula": "SrLiAs",
  "functional": "GGA-PBEsol",
  "state": "optimized geometry",
  "lattice": [[4.203, 0.000, 0.000], [0.000, 4.203, 0.000], [0.000, 0.000, 8.367]],
  "species": ["Sr", "Sr", "Li", "Li", "As", "As"],
  "fractional_positions": [[0.000, 0.000, 0.000], [0.500, 0.500, 0.500], [0.000, 0.000, 0.669], [0.500, 0.500, 0.169], [0.000, 0.000, 0.361], [0.500, 0.500, 0.861]]
}


{
  "formula": "CoHg2Se",
  "functional": "GGA-PBEsol",
  "state": "optimized geometry",
  "lattice": [[3.810, 0.000, 0.000], [0.000, 3.810, 0.000], [0.000, 0.000, 10.865]],
  "species": ["Co", "Co", "Hg", "Hg", "Hg", "Hg", "Se", "Se"],
  "fractional_positions": [[0.000, 0.000, 0.000], [0.500, 0.500, 0.500], [0.000, 0.500, 0.250], [0.000, 0.500, 0.750], [0.500, 0.000, 0.250], [0.500, 0.000, 0.750], [0.000, 0.000, 0.500], [0.500, 0.500, 0.000]],
  "raw_formation_energy_ev_per_fu": 1.92
}


{
  "formula": "BaHgPb3",
  "functional": "GGA-PBEsol",
  "state": "optimized geometry",
  "lattice": [[6.236, 0.000, 0.000], [0.000, 6.236, 0.000], [0.000, 0.000, 6.236]],
  "species": ["Ba", "Hg", "Pb", "Pb", "Pb"],
  "fractional_positions": [[0.000, 0.000, 0.000], [0.500, 0.500, 0.500], [0.000, 0.000, 0.500], [0.000, 0.500, 0.000], [0.500, 0.000, 0.000]]
}


{
  "formula": "Pm2PdRh",
  "functional": "GGA-PBEsol",
  "state": "optimized geometry",
  "lattice": [[6.989, 0.000, 0.000], [0.000, 6.989, 0.000], [0.000, 0.000, 6.989]],
  "species": ["Pm", "Pm", "Pm", "Pm", "Pm", "Pm", "Pm", "Pm", "Pd", "Pd", "Pd", "Pd", "Rh", "Rh", "Rh", "Rh"],
  "fractional_positions": [[0.250, 0.250, 0.250], [0.250, 0.250, 0.750], [0.250, 0.750, 0.250], [0.250, 0.750, 0.750], [0.750, 0.250, 0.250], [0.750, 0.250, 0.750], [0.750, 0.750, 0.250], [0.750, 0.750, 0.750], [0.000, 0.000, 0.000], [0.000, 0.500, 0.500], [0.500, 0.000, 0.500], [0.500, 0.500, 0.000], [0.000, 0.000, 0.500], [0.000, 0.500, 0.000], [0.500, 0.000, 0.000], [0.500, 0.500, 0.500]]
}


{
  "formula": "BaReAs2Br",
  "functional": "GGA-PBEsol",
  "state": "optimized geometry",
  "lattice": [[5.753, 0.000, 0.000], [0.000, 5.753, 0.000], [0.000, 0.000, 5.853]],
  "species": ["Ba", "Re", "As", "As", "Br"],
  "fractional_positions": [[0.000, 0.000, 0.000], [0.500, 0.500, 0.500], [0.000, 0.500, 0.000], [0.500, 0.000, 0.000], [0.000, 0.000, 0.500]],
  "raw_formation_energy_ev_per_fu": 9.22
}


{
  "formula": "CsSrSe2N",
  "functional": "GGA-PBEsol",
  "state": "optimized geometry",
  "lattice": [[5.893, 0.000, 0.000], [0.000, 5.893, 0.000], [0.000, 0.000, 5.073]],
  "species": ["Cs", "Sr", "Se", "Se", "N"],
  "fractional_positions": [[0.000, 0.000, 0.000], [0.500, 0.500, 0.500], [0.000, 0.500, 0.500], [0.500, 0.000, 0.500], [0.500, 0.500, 0.000]],
  "raw_formation_energy_ev_per_fu": 0.32
}


{
  "formula": "CsTiSeBr2",
  "functional": "GGA-PBEsol",
  "state": "optimized geometry",
  "lattice": [[5.324, 0.000, 0.000], [0.000, 5.324, 0.000], [0.000, 0.000, 4.939]],
  "species": ["Cs", "Ti", "Se", "Br", "Br"],
  "fractional_positions": [[0.000, 0.000, 0.000], [0.500, 0.500, 0.500], [0.500, 0.500, 0.000], [0.000, 0.500, 0.500], [0.500, 0.000, 0.500]],
  "raw_formation_energy_ev_per_fu": -6.28
}


| no. | total DFT energy (no corrections) (hartree per atom) | total magnetization (μB per cell) |
| --- | --- | --- |
| 1 | -0.1830 | 0.0 |
| 2 | -0.2932 | 0.0 |
| 3 | -0.2220 | 0.0 |
| 4 | -0.1476 | 8.8 |
| 5 | -0.2486 | 0.0 |
| 6 | -0.2664 | 0.0 |
| 7 | -0.0562 | 0.0 |
| 8 | -0.2101 | 2.0 |
| 9 | -0.1703 | 0.0 |
| 10 | -0.1445 | 18.3 |
| 11 | -0.0922 | 0.2 |
| 12 | -0.1770 | 0.0 |
| 13 | -0.3223 | 0.0 |
| 14 | -0.1431 | 0.0 |
| 15 | -0.1737 | 0.0 |
| 16 | -0.3254 | 0.0 |
| 17 | -0.2727 | 5.0 |
| 18 | -0.2660 | 0.0 |
| 19 | -0.0889 | 0.0 |
| 20 | -0.3289 | 0.0 |
| 21 | -0.2840 | 4.4 |
| 22 | -0.1380 | 17.6 |
| 23 | -0.1336 | 0.0 |
| 24 | -0.0992 | 4.5 |
| 25 | -0.0750 | 0.0 |
| 26 | -0.2493 | 0.0 |
| 27 | -0.1348 | 4.3 |
| 28 | -0.1373 | 3.9 |
| 29 | -0.1700 | 1.0 |